Entry 1:
# CeDy2ThAs4

CeDy2ThAs4 after structural relaxation (PBE-GGA, Alexandria).

Results
total moment: 0.100 μB/atom
formation energy from the elements: -1486 meV/atom
VASP energy: -53.0 eV/f.u.

```
CeDy2ThAs4
1.0
4.1885 0.0000 0.0000
0.0000 7.2195 -0.1316
0.0000 2.5515 6.7868
Dy Th As Ce
2 1 4 1
direct
0.0000 0.0000 0.0000
0.5000 0.0000 0.5000
0.0000 0.5000 0.5000
0.5000 0.7568 0.2469
0.0000 0.7560 0.7486
0.5000 0.2432 0.7531
0.0000 0.2440 0.2514
0.5000 0.5000 0.0000
```

Entry 2:
# Ce2DyTh3As6

Ce2DyTh3As6 after structural relaxation (PBE-GGA, Alexandria).

Results
total moment: 0.113 μB/atom
formation energy from the elements: -1441 meV/atom
VASP energy: -83.9 eV/f.u.

```
Ce2DyTh3As6
1.0
-3.8349 0.1421 1.7675
-2.4739 -6.4492 -4.8492
5.2212 -4.2389 6.6194
Th As Ce Dy
3 6 2 1
direct
0.1668 0.8339 0.3337
0.8332 0.1661 0.6663
0.5000 0.5000 0.0000
0.6644 0.0840 0.3287
0.6672 0.5820 0.3344
0.3356 0.9160 0.6713
0.9997 0.7549 0.9995
0.3328 0.4180 0.6656
0.0003 0.2451 0.0005
0.8340 0.6675 0.6679
0.1660 0.3325 0.3321
0.5000 0.0000 0.0000
```

| no. | D(E_F) (states/eV/cell) |
| --- | --- |
| 1 | 6.92 |
| 2 | 13.90 |